Record 1
NdSmRhBr | PBE | relaxed

Values from the calculation:
**ΔE_f (raw)**: -1.064 eV per atom

```
data_NdSmRhBr
_chemical_formula_sum 'Nd3 Sm3 Rh3 Br3'
_space_group_name_H-M_alt 'R 3 m'
_space_group_IT_number 160
_space_group_name_Hall 'R 3 -2"'
_cell_length_a 4.0824
_cell_length_b 4.0824
_cell_length_c 23.6739
_cell_angle_alpha 90.00
_cell_angle_beta 90.00
_cell_angle_gamma 120.00
loop_
_atom_site_label
_atom_site_type_symbol
_atom_site_fract_x
_atom_site_fract_y
_atom_site_fract_z
Nd1 Nd 0.0000 0.0000 0.0000
Sm1 Sm 0.0000 0.0000 0.2039
Rh1 Rh 0.0000 0.0000 0.6008
Br1 Br 0.0000 0.0000 0.7717
```

Record 2
NdYRhBr | PBE | relaxed

Values from the calculation:
**ΔE_f (raw)**: -1.053 eV per atom

```
data_NdYRhBr
_chemical_formula_sum 'Nd3 Y3 Rh3 Br3'
_space_group_name_H-M_alt 'R 3 m'
_space_group_IT_number 160
_space_group_name_Hall 'R 3 -2"'
_cell_length_a 4.0535
_cell_length_b 4.0535
_cell_length_c 23.4675
_cell_angle_alpha 90.00
_cell_angle_beta 90.00
_cell_angle_gamma 120.00
loop_
_atom_site_label
_atom_site_type_symbol
_atom_site_fract_x
_atom_site_fract_y
_atom_site_fract_z
Nd1 Nd 0.0000 0.0000 0.0000
Y1 Y 0.0000 0.0000 0.7955
Rh1 Rh 0.0000 0.0000 0.3995
Br1 Br 0.0000 0.0000 0.2258
```

Record 3
Nd6ZnRh2Br3 | PBE | relaxed

Values from the calculation:
**ΔE_f (raw)**: -0.926 eV per atom

```
data_Nd6ZnRh2Br3
_chemical_formula_sum 'Nd12 Zn2 Rh4 Br6'
_space_group_name_H-M_alt 'C 1 2/m 1'
_space_group_IT_number 12
_cell_length_a 7.242
_cell_length_b 12.545
_cell_length_c 8.137
_cell_angle_alpha 90.00
_cell_angle_beta 107.26
_cell_angle_gamma 90.00
loop_
_space_group_symop_operation_xyz
'x,y,z'
'-x,-y,-z'
'-x,y,-z'
'x,-y,z'
'x+1/2,y+1/2,z'
'-x+1/2,-y+1/2,-z'
'-x+1/2,y+1/2,-z'
'x+1/2,-y+1/2,z'
loop_
_atom_site_label
_atom_site_type_symbol
_atom_site_fract_x
_atom_site_fract_y
_atom_site_fract_z
Nd1 Nd 0.217 0.000 0.202
Nd2 Nd 0.242 0.325 0.202
Zn1 Zn 0.000 0.500 0.000
Rh1 Rh 0.000 0.167 0.000
Br1 Br 0.000 0.000 0.500
Br2 Br 0.000 0.334 0.500
```

Record 4
Nd2RuBr | PBE | relaxed

Values from the calculation:
**Energy above the most stable polymorph in this dataset**: 0.024 eV per atom
**ΔE_f (raw)**: -0.723 eV per atom

```
data_Nd2RuBr
_chemical_formula_sum 'Nd2 Ru1 Br1'
_space_group_name_H-M_alt 'P 4/m m m'
_space_group_IT_number 123
_space_group_name_Hall '-P 4 2'
_cell_length_a 3.480
_cell_length_b 3.480
_cell_length_c 8.321
_cell_angle_alpha 90.00
_cell_angle_beta 90.00
_cell_angle_gamma 90.00
loop_
_atom_site_label
_atom_site_type_symbol
_atom_site_fract_x
_atom_site_fract_y
_atom_site_fract_z
Nd1 Nd 0.000 0.000 0.210
Ru1 Ru 0.500 0.500 0.000
Br1 Br 0.500 0.500 0.500
```

Record 5
Nd2RuBr | PBE | relaxed

Values from the calculation:
**Energy above the most stable polymorph in this dataset**: 0.724 eV per atom
**ΔE_f (raw)**: -0.023 eV per atom

```
data_Nd2RuBr
_chemical_formula_sum 'Nd6 Ru3 Br3'
_space_group_name_H-M_alt 'R -3 m'
_space_group_IT_number 166
_space_group_name_Hall '-R 3 2"'
_cell_length_a 3.4576
_cell_length_b 3.4576
_cell_length_c 30.2267
_cell_angle_alpha 90.00
_cell_angle_beta 90.00
_cell_angle_gamma 120.00
loop_
_atom_site_label
_atom_site_type_symbol
_atom_site_fract_x
_atom_site_fract_y
_atom_site_fract_z
Nd1 Nd 0.0000 0.0000 0.0847
Ru1 Ru 0.0000 0.0000 0.0000
Br1 Br 0.0000 0.0000 0.5000
```

Record 6
Nd7RuBr12 | PBE | relaxed

Values from the calculation:
**ΔE_f (raw)**: -1.588 eV per atom

```
data_Nd7RuBr12
_chemical_formula_sum 'Nd21 Ru3 Br36'
_space_group_name_H-M_alt 'R -3'
_space_group_IT_number 148
_space_group_name_Hall '-R 3'
_cell_length_a 15.3699
_cell_length_b 15.3699
_cell_length_c 10.8511
_cell_angle_alpha 90.00
_cell_angle_beta 90.00
_cell_angle_gamma 120.00
loop_
_atom_site_label
_atom_site_type_symbol
_atom_site_fract_x
_atom_site_fract_y
_atom_site_fract_z
Nd1 Nd 0.0000 0.0000 0.0000
Nd2 Nd 0.0410 0.8751 0.3570
Ru1 Ru 0.0000 0.0000 0.5000
Br1 Br 0.0224 0.4386 0.1575
Br2 Br 0.0430 0.8758 0.8354
```

Record 7
Nd3RuBr2 | PBE | relaxed

Values from the calculation:
**Energy above the most stable polymorph in this dataset**: 0.023 eV per atom
**ΔE_f (raw)**: -0.890 eV per atom

```
data_Nd3RuBr2
_chemical_formula_sum 'Nd12 Ru4 Br8'
_space_group_name_H-M_alt 'C 1 2/c 1'
_space_group_IT_number 15
_cell_length_a 8.123
_cell_length_b 12.722
_cell_length_c 7.105
_cell_angle_alpha 90.00
_cell_angle_beta 109.71
_cell_angle_gamma 90.00
loop_
_space_group_symop_operation_xyz
'x,y,z'
'-x,-y,-z'
'-x,y,-z+1/2'
'x,-y,z+1/2'
'x+1/2,y+1/2,z'
'-x+1/2,-y+1/2,-z'
'-x+1/2,y+1/2,-z+1/2'
'x+1/2,-y+1/2,z+1/2'
loop_
_atom_site_label
_atom_site_type_symbol
_atom_site_fract_x
_atom_site_fract_y
_atom_site_fract_z
Nd1 Nd 0.191 0.071 0.001
Nd2 Nd 0.250 0.250 0.500
Ru1 Ru 0.000 0.095 0.250
Br1 Br 0.000 0.271 0.750
Br2 Br 0.000 0.426 0.250
```

Record 8
Nd4Ru2Br3 | PBE | relaxed

Values from the calculation:
**ΔE_f (raw)**: -0.875 eV per atom

```
data_Nd4Ru2Br3
_chemical_formula_sum 'Nd8 Ru4 Br6'
_space_group_name_H-M_alt 'C 1 2/m 1'
_space_group_IT_number 12
_cell_length_a 7.133
_cell_length_b 4.118
_cell_length_c 18.752
_cell_angle_alpha 90.00
_cell_angle_beta 90.05
_cell_angle_gamma 90.00
loop_
_space_group_symop_operation_xyz
'x,y,z'
'-x,-y,-z'
'-x,y,-z'
'x,-y,z'
'x+1/2,y+1/2,z'
'-x+1/2,-y+1/2,-z'
'-x+1/2,y+1/2,-z'
'x+1/2,-y+1/2,z'
loop_
_atom_site_label
_atom_site_type_symbol
_atom_site_fract_x
_atom_site_fract_y
_atom_site_fract_z
Nd1 Nd 0.001 0.000 0.296
Nd2 Nd 0.166 0.500 0.873
Ru1 Ru 0.167 0.500 0.206
Br1 Br 0.000 0.000 0.000
Br2 Br 0.166 0.500 0.600
```